1.
Compound: K2ICl6
Source: Alexandria
Functional: PBE
Structure: optimized geometry

Values from the calculation:
The space group is No. 14. For the offset from the most stable computed form, the calculation gives 0.00 kJ per mole of atoms. Its uncorrected formation energy is -0.918 eV/atom. For the total energy, the calculation gives -46.2 eV per cell.

a b c (Å): 7.104 8.527 12.140
angles (deg): 90.00 125.19 90.00
Atoms (fractional coordinates):
K1 0.234 0.095 0.272
K2 0.234 0.405 0.772
K3 0.766 0.595 0.228
K4 0.766 0.905 0.728
I1 0.500 0.000 0.000
I2 0.500 0.500 0.500
Cl1 0.161 0.152 0.960
Cl2 0.161 0.348 0.460
Cl3 0.260 0.692 0.951
Cl4 0.260 0.808 0.451
Cl5 0.339 0.023 0.755
Cl6 0.339 0.477 0.255
Cl7 0.661 0.523 0.745
Cl8 0.661 0.977 0.245
Cl9 0.740 0.192 0.549
Cl10 0.740 0.308 0.049
Cl11 0.839 0.652 0.540
Cl12 0.839 0.848 0.040

2.
Compound: Dy8Sb2Rh
Source: Alexandria
Functional: PBE
Structure: optimized geometry

Values from the calculation:
The space group is No. 12. Its uncorrected formation energy is -0.535 eV/atom. For the total energy, the calculation gives -58.3 eV per cell.

a b c (Å): 9.642 9.642 7.216
angles (deg): 97.69 97.69 27.94
Atoms (fractional coordinates):
Dy1 0.004 0.004 0.274
Dy2 0.216 0.216 0.847
Dy3 0.356 0.356 0.467
Dy4 0.405 0.405 0.987
Dy5 0.595 0.595 0.013
Dy6 0.644 0.644 0.533
Dy7 0.784 0.784 0.153
Dy8 0.996 0.996 0.726
Sb1 0.182 0.182 0.273
Sb2 0.818 0.818 0.727
Rh1 0.500 0.500 0.500

3.
Compound: WAuSN2
Source: Alexandria
Functional: PBE
Structure: optimized geometry

Values from the calculation:
The space group is No. 123. For the offset from the most stable computed form, the calculation gives 0.00 kJ per mole of atoms. Its uncorrected formation energy is 0.501 eV/atom. For the total energy, the calculation gives -34.5 eV per cell.

a b c (Å): 3.869 3.869 5.209
angles (deg): 90.00 90.00 90.00
Atoms (fractional coordinates):
W1 0.000 0.000 0.000
Au1 0.500 0.500 0.500
S1 0.000 0.000 0.500
N1 0.000 0.500 0.000
N2 0.500 0.000 0.000